The following is a DFT calculation (GGA+U) of an optimized crystal structure of Li3Co2Si2O8.

Crystal system ... monoclinic
Magnetization ... 0.467 μB per atom
Offset from the most stable computed form ... 0.005 eV/atom
DOS at the Fermi energy ... 2.48 states/eV/cell

Lattice parameters (Å, degrees): 5.037 6.444 10.671 90.00 90.45 90.00
Space group Pc (No. 7)
Asymmetric unit:
Li 0.000 0.013 0.000 (multiplicity 2)
Li 0.007 0.254 0.234 (multiplicity 2)
Li 0.510 0.263 0.918 (multiplicity 2)
Co 0.022 0.263 0.741 (multiplicity 2)
Co 0.501 0.240 0.408 (multiplicity 2)
Si 0.005 0.494 0.488 (multiplicity 2)
Si 0.521 0.014 0.670 (multiplicity 2)
O 0.329 0.476 0.461 (multiplicity 2)
O 0.406 0.210 0.747 (multiplicity 2)
O 0.409 0.199 0.241 (multiplicity 2)
O 0.413 0.014 0.520 (multiplicity 2)
O 0.847 0.007 0.670 (multiplicity 2)
O 0.877 0.280 0.420 (multiplicity 2)
O 0.902 0.290 0.921 (multiplicity 2)
O 0.946 0.499 0.136 (multiplicity 2)